# 1
The following is a GGA-PBE calculation of a relaxed structure of LiPr2Pu3S6, from Alexandria.

Values from the calculation:
* M_tot: 17.086 Bohr magnetons per cell
* DOS at the Fermi energy: 23.0 states/eV/f.u.
* uncorrected formation energy: -1.793 eV per atom

Unit cell a=6.939 b=6.939 c=6.933 alpha=99.64 beta=99.64 gamma=119.98
Element x y z (fractional)
Li 0.000 0.000 0.000
Pr 0.334 0.666 0.000
Pr 0.666 0.334 0.000
Pu 0.168 0.832 0.500
Pu 0.500 0.500 0.500
Pu 0.832 0.168 0.500
S 0.085 0.410 0.256
S 0.240 0.240 0.743
S 0.410 0.085 0.256
S 0.590 0.915 0.744
S 0.760 0.760 0.257
S 0.915 0.590 0.744

=====

# 2
The following is a GGA-PBE calculation of a relaxed structure of LiPr2PuS4, from Alexandria.

Values from the calculation:
* M_tot: 5.646 Bohr magnetons per cell
* DOS at the Fermi energy: 11.8 states/eV/f.u.
* uncorrected formation energy: -1.821 eV per atom

Unit cell a=6.931 b=4.036 c=6.967 alpha=90.00 beta=109.95 gamma=90.00
Element x y z (fractional)
Li 0.000 0.000 0.000
Pr 0.500 0.000 0.500
Pr 0.500 0.500 0.000
Pu 0.000 0.500 0.500
S 0.236 0.000 0.747
S 0.237 0.500 0.243
S 0.763 0.500 0.757
S 0.764 0.000 0.253

=====

# 3
The following is a GGA-PBE calculation of a relaxed structure of LiPrPuS3, from Alexandria.

Values from the calculation:
* M_tot: 11.382 Bohr magnetons per cell
* DOS at the Fermi energy: 10.8 states/eV/f.u.
* uncorrected formation energy: -1.705 eV per atom

Unit cell a=8.206 b=3.920 c=8.553 alpha=90.00 beta=101.80 gamma=90.00
Element x y z (fractional)
Li 0.088 0.250 0.083
Li 0.912 0.750 0.917
Pr 0.180 0.250 0.720
Pr 0.820 0.750 0.280
Pu 0.337 0.750 0.332
Pu 0.663 0.250 0.668
S 0.099 0.250 0.365
S 0.210 0.750 0.993
S 0.424 0.750 0.666
S 0.576 0.250 0.334
S 0.790 0.250 0.007
S 0.901 0.750 0.635

=====

# 4
The following is a GGA-PBE calculation of a relaxed structure of LiPr3Pu2S6, from Alexandria.

Values from the calculation:
* M_tot: 11.384 Bohr magnetons per cell
* DOS at the Fermi energy: 18.7 states/eV/f.u.
* uncorrected formation energy: -1.845 eV per atom

Unit cell a=6.964 b=6.964 c=6.972 alpha=99.59 beta=99.59 gamma=120.02
Element x y z (fractional)
Li 0.000 0.000 0.000
Pr 0.166 0.834 0.500
Pr 0.500 0.500 0.500
Pr 0.834 0.166 0.500
Pu 0.333 0.667 0.000
Pu 0.667 0.333 0.000
S 0.079 0.409 0.236
S 0.252 0.252 0.765
S 0.409 0.079 0.236
S 0.591 0.921 0.764
S 0.748 0.748 0.235
S 0.921 0.591 0.764

=====

# 5
The following is a GGA-PBE calculation of a relaxed structure of LiPrPu2Se4, from Alexandria.

Values from the calculation:
* M_tot: 11.505 Bohr magnetons per cell
* DOS at the Fermi energy: 18.0 states/eV/f.u.
* uncorrected formation energy: -1.571 eV per atom

Unit cell a=7.200 b=4.178 c=7.225 alpha=90.00 beta=109.64 gamma=90.00
Element x y z (fractional)
Li 0.000 0.000 0.000
Pr 0.500 0.500 0.000
Pu 0.000 0.500 0.500
Pu 0.500 0.000 0.500
Se 0.241 0.000 0.746
Se 0.244 0.500 0.249
Se 0.756 0.500 0.751
Se 0.759 0.000 0.254

=====

# 6
The following is a GGA-PBE calculation of a relaxed structure of LiPr2PuSe5, from Alexandria.

Values from the calculation:
* M_tot: 10.003 Bohr magnetons per cell
* DOS at the Fermi energy: 13.7 states/eV/f.u.
* uncorrected formation energy: -1.623 eV per atom

Unit cell a=8.951 b=8.951 c=12.493 alpha=90.00 beta=90.00 gamma=152.92
Element x y z (fractional)
Li 0.017 0.983 0.500
Li 0.983 0.017 0.000
Pr 0.376 0.624 0.319
Pr 0.391 0.609 0.705
Pr 0.609 0.391 0.205
Pr 0.624 0.376 0.819
Pu 0.301 0.699 0.023
Pu 0.699 0.301 0.523
Se 0.001 0.999 0.303
Se 0.135 0.865 0.018
Se 0.192 0.808 0.363
Se 0.212 0.788 0.681
Se 0.453 0.547 0.092
Se 0.547 0.453 0.592
Se 0.788 0.212 0.181
Se 0.808 0.192 0.863
Se 0.865 0.135 0.518
Se 0.999 0.001 0.803

=====

# 7
The following is a GGA-PBE calculation of a relaxed structure of LiPrPuSe3, from Alexandria.

Values from the calculation:
* M_tot: 11.514 Bohr magnetons per cell
* DOS at the Fermi energy: 12.4 states/eV/f.u.
* uncorrected formation energy: -1.556 eV per atom

Unit cell a=8.538 b=4.083 c=8.976 alpha=90.00 beta=102.36 gamma=90.00
Element x y z (fractional)
Li 0.087 0.250 0.084
Li 0.913 0.750 0.916
Pr 0.183 0.250 0.725
Pr 0.817 0.750 0.275
Pu 0.333 0.750 0.335
Pu 0.667 0.250 0.665
Se 0.094 0.250 0.367
Se 0.217 0.750 0.994
Se 0.426 0.750 0.670
Se 0.574 0.250 0.330
Se 0.783 0.250 0.006
Se 0.906 0.750 0.633

=====

# 8
The following is a GGA-PBE calculation of a relaxed structure of LiPr2Pu3Se6, from Alexandria.

Values from the calculation:
* M_tot: 17.093 Bohr magnetons per cell
* DOS at the Fermi energy: 27.9 states/eV/f.u.
* uncorrected formation energy: -1.614 eV per atom

Unit cell a=9.343 b=9.343 c=8.362 alpha=102.96 beta=102.96 gamma=25.86
Element x y z (fractional)
Li 0.000 0.000 0.000
Pr 0.335 0.335 0.668
Pr 0.665 0.665 0.332
Pu 0.000 0.000 0.500
Pu 0.333 0.333 0.165
Pu 0.667 0.667 0.835
Se 0.164 0.164 0.076
Se 0.164 0.164 0.590
Se 0.498 0.498 0.246
Se 0.502 0.502 0.754
Se 0.836 0.836 0.410
Se 0.836 0.836 0.924

=====

# 9
The following is a GGA-PBE calculation of a relaxed structure of Li3Pr2PuSe6, from Alexandria.

Values from the calculation:
* M_tot: 5.000 Bohr magnetons per cell
* DOS at the Fermi energy: 13.0 states/eV/f.u.
* uncorrected formation energy: -1.551 eV per atom

Unit cell a=7.294 b=7.294 c=6.939 alpha=100.07 beta=100.07 gamma=119.99
Element x y z (fractional)
Li 0.000 0.000 0.000
Li 0.337 0.663 0.000
Li 0.663 0.337 0.000
Pr 0.167 0.833 0.500
Pr 0.833 0.167 0.500
Pu 0.500 0.500 0.500
Se 0.087 0.413 0.240
Se 0.259 0.259 0.758
Se 0.413 0.087 0.240
Se 0.587 0.913 0.760
Se 0.741 0.741 0.242
Se 0.913 0.587 0.760

=====

# 10
The following is a GGA-PBE calculation of a relaxed structure of LiPr2PuSe4, from Alexandria.

Values from the calculation:
* M_tot: 5.785 Bohr magnetons per cell
* DOS at the Fermi energy: 13.1 states/eV/f.u.
* uncorrected formation energy: -1.671 eV per atom

Unit cell a=7.230 b=4.200 c=7.260 alpha=90.00 beta=109.83 gamma=90.00
Element x y z (fractional)
Li 0.000 0.000 0.000
Pr 0.500 0.000 0.500
Pr 0.500 0.500 0.000
Pu 0.000 0.500 0.500
Se 0.237 0.000 0.750
Se 0.237 0.500 0.241
Se 0.763 0.000 0.250
Se 0.763 0.500 0.759

=====

# 11
The following is a GGA-PBE calculation of a relaxed structure of LiPrPuSi, from Alexandria.

Values from the calculation:
* M_tot: 6.117 Bohr magnetons per cell
* DOS at the Fermi energy: 8.1 states/eV/f.u.
* uncorrected formation energy: -0.133 eV per atom

Unit cell a=5.111 b=5.111 c=5.111 alpha=60.00 beta=60.00 gamma=60.00
Element x y z (fractional)
Li 0.000 0.000 0.000
Pr 0.750 0.750 0.750
Pu 0.250 0.250 0.250
Si 0.500 0.500 0.500

=====

# 12
The following is a GGA-PBE calculation of a relaxed structure of LiPrPuTc, from Alexandria.

Values from the calculation:
* M_tot: 4.810 Bohr magnetons per cell
* DOS at the Fermi energy: 10.0 states/eV/f.u.
* energy relative to the elements: 0.202 eV per atom

Unit cell a=4.991 b=4.991 c=4.991 alpha=60.00 beta=60.00 gamma=60.00
Element x y z (fractional)
Li 0.000 0.000 0.000
Pr 0.250 0.250 0.250
Pu 0.750 0.750 0.750
Tc 0.500 0.500 0.500